# PaNi3Rh

A relaxed structure of PaNi3Rh (GGA-PBE, Alexandria via LeMat-Bulk).

```
PaNi3Rh
1.0
2.552 1.474 7.862
-2.552 1.474 7.862
0.000 -2.947 7.862
Pa Ni Rh
2 6 2
direct
0.250 0.250 0.250
0.750 0.750 0.750
0.244 0.750 0.256
0.250 0.744 0.756
0.256 0.244 0.750
0.744 0.756 0.250
0.750 0.256 0.244
0.756 0.250 0.744
0.000 0.000 0.000
0.500 0.500 0.500
```

* final energy: -0.248 hartree per atom
* theoretical density: 9549 kg/m³
* crystal system: trigonal
* D(E_F): 3.27 states/eV/f.u.
* energy of formation from the pure elements: 0.5 eV per formula unit